The following is a DFT calculation (meta-GGA SCAN) of a PBEsol-optimized structure of ZnPtAu.

CIF file:
```
data_ZnPtAu
_symmetry_space_group_name_H-M 'P 1'
_symmetry_Int_Tables_number 1
_cell_length_a 5.8413
_cell_length_b 5.8413
_cell_length_c 5.8413
_cell_angle_alpha 151.61
_cell_angle_beta 151.61
_cell_angle_gamma 40.58
loop_
_symmetry_equiv_pos_as_xyz
'x,y,z'
loop_
_atom_site_label
_atom_site_fract_x
_atom_site_fract_y
_atom_site_fract_z
Zn1 0.0000 0.0000 0.0000
Pt1 0.3508 0.3508 0.0000
Au1 0.6653 0.6653 0.0000
```

Computed properties:
Energy of formation from the pure elements = -312 meV per atom
Uncorrected energy = -153.80 eV/cell
Spin magnetization = 0.000 μB/atom
Space-group type = I4mm (107)
DOS at the Fermi energy = 0.78 states/eV per cell

***

The following is a DFT calculation (meta-GGA SCAN) of a PBEsol-optimized structure of Fe2TcRu.

CIF file:
```
data_Fe2TcRu
_symmetry_space_group_name_H-M 'P 1'
_symmetry_Int_Tables_number 1
_cell_length_a 8.4451
_cell_length_b 8.4451
_cell_length_c 8.4451
_cell_angle_alpha 17.86
_cell_angle_beta 17.86
_cell_angle_gamma 17.86
loop_
_symmetry_equiv_pos_as_xyz
'x,y,z'
loop_
_atom_site_label
_atom_site_fract_x
_atom_site_fract_y
_atom_site_fract_z
Fe1 0.0000 0.0000 0.0000
Fe2 0.2548 0.2548 0.2548
Tc1 0.7494 0.7494 0.7494
Ru1 0.5049 0.5049 0.5049
```

Computed properties:
Energy of formation from the pure elements = 113 meV per atom
Distance to the lowest polymorph of the same formula = 0.066 eV per atom
Uncorrected energy = -105.70 eV/cell
Spin magnetization = 1.247 μB/atom
Space-group type = R3m (160)
DOS at the Fermi energy = 2.80 states/eV per cell

***

The following is a DFT calculation (meta-GGA SCAN) of a PBEsol-optimized structure of Sc2TcIr.

CIF file:
```
data_Sc2TcIr
_symmetry_space_group_name_H-M 'P 1'
_symmetry_Int_Tables_number 1
_cell_length_a 9.5898
_cell_length_b 9.5898
_cell_length_c 9.5898
_cell_angle_alpha 17.41
_cell_angle_beta 17.41
_cell_angle_gamma 17.41
loop_
_symmetry_equiv_pos_as_xyz
'x,y,z'
loop_
_atom_site_label
_atom_site_fract_x
_atom_site_fract_y
_atom_site_fract_z
Sc1 0.0000 0.0000 0.0000
Sc2 0.2335 0.2335 0.2335
Tc1 0.7484 0.7484 0.7484
Ir1 0.4873 0.4873 0.4873
```

Computed properties:
Energy of formation from the pure elements = 91 meV per atom
Uncorrected energy = -134.27 eV/cell
Spin magnetization = 0.147 μB/atom
Space-group type = R3m (160)
DOS at the Fermi energy = 4.32 states/eV per cell

***

The following is a DFT calculation (meta-GGA SCAN) of a PBEsol-optimized structure of ScHSCl2.

CIF file:
```
data_ScHSCl2
_symmetry_space_group_name_H-M 'P 1'
_symmetry_Int_Tables_number 1
_cell_length_a 4.9356
_cell_length_b 4.9356
_cell_length_c 4.9537
_cell_angle_alpha 90.00
_cell_angle_beta 90.00
_cell_angle_gamma 90.00
loop_
_symmetry_equiv_pos_as_xyz
'x,y,z'
loop_
_atom_site_label
_atom_site_fract_x
_atom_site_fract_y
_atom_site_fract_z
Sc1 0.0000 0.0000 0.0000
H1 0.5000 0.5000 0.5000
S1 0.0000 0.0000 0.5000
Cl1 0.0000 0.5000 0.0000
Cl2 0.5000 0.0000 0.0000
```

Computed properties:
Distance to the lowest polymorph of the same formula = 0.000 eV per atom
Uncorrected energy = -47.18 eV/cell
Spin magnetization = 0.400 μB/atom
Space-group type = P4/mmm (123)
DOS at the Fermi energy = 3.11 states/eV per cell

***

The following is a DFT calculation (meta-GGA SCAN) of a PBEsol-optimized structure of La3InCo.

CIF file:
```
data_La3InCo
_symmetry_space_group_name_H-M 'P 1'
_symmetry_Int_Tables_number 1
_cell_length_a 7.3763
_cell_length_b 7.3763
_cell_length_c 7.3763
_cell_angle_alpha 60.16
_cell_angle_beta 60.16
_cell_angle_gamma 60.16
loop_
_symmetry_equiv_pos_as_xyz
'x,y,z'
loop_
_atom_site_label
_atom_site_fract_x
_atom_site_fract_y
_atom_site_fract_z
La1 0.2191 0.7500 0.2809
La2 0.2500 0.7191 0.7809
La3 0.2809 0.2191 0.7500
La4 0.7191 0.7809 0.2500
La5 0.7500 0.2809 0.2191
La6 0.7809 0.2500 0.7191
In1 0.2500 0.2500 0.2500
In2 0.7500 0.7500 0.7500
Co1 0.0000 0.0000 0.0000
Co2 0.5000 0.5000 0.5000
```

Computed properties:
Energy of formation from the pure elements = -341 meV per atom
Distance to the lowest polymorph of the same formula = 0.002 eV per atom
Uncorrected energy = -363.42 eV/cell
Spin magnetization = 0.000 μB/atom
Space-group type = R-3c (167)
DOS at the Fermi energy = 8.25 states/eV per cell

***

The following is a DFT calculation (meta-GGA SCAN) of a PBEsol-optimized structure of H3WS.

CIF file:
```
data_H3WS
_symmetry_space_group_name_H-M 'P 1'
_symmetry_Int_Tables_number 1
_cell_length_a 3.5077
_cell_length_b 3.5077
_cell_length_c 3.5077
_cell_angle_alpha 90.00
_cell_angle_beta 90.00
_cell_angle_gamma 90.00
loop_
_symmetry_equiv_pos_as_xyz
'x,y,z'
loop_
_atom_site_label
_atom_site_fract_x
_atom_site_fract_y
_atom_site_fract_z
H1 0.0000 0.0000 0.5000
H2 0.0000 0.5000 0.0000
H3 0.5000 0.0000 0.0000
W1 0.0000 0.0000 0.0000
S1 0.5000 0.5000 0.5000
```

Computed properties:
Uncorrected energy = -85.40 eV/cell
Spin magnetization = 0.142 μB/atom
Space-group type = Pm-3m (221)
DOS at the Fermi energy = 1.57 states/eV per cell

***

The following is a DFT calculation (meta-GGA SCAN) of a PBEsol-optimized structure of CdSn2H12O6F6.

CIF file:
```
data_CdSn2H12O6F6
_symmetry_space_group_name_H-M 'P 1'
_symmetry_Int_Tables_number 1
_cell_length_a 6.5538
_cell_length_b 6.9514
_cell_length_c 7.1110
_cell_angle_alpha 75.94
_cell_angle_beta 79.48
_cell_angle_gamma 70.34
loop_
_symmetry_equiv_pos_as_xyz
'x,y,z'
loop_
_atom_site_label
_atom_site_fract_x
_atom_site_fract_y
_atom_site_fract_z
Cd1 0.0000 0.0000 0.0000
Sn1 0.3524 0.3241 0.3704
Sn2 0.6476 0.6759 0.6296
H1 0.0889 0.7806 0.3834
H2 0.1246 0.7235 0.7332
H3 0.2559 0.6145 0.9209
H4 0.2645 0.2644 0.9512
H5 0.2743 0.8907 0.2929
H6 0.3666 0.1003 0.8057
H7 0.6334 0.8997 0.1943
H8 0.7257 0.1093 0.7071
H9 0.7355 0.7356 0.0488
H10 0.7441 0.3855 0.0791
H11 0.8754 0.2765 0.2668
H12 0.9111 0.2194 0.6166
O1 0.1877 0.8105 0.2618
O2 0.2199 0.7449 0.8173
O3 0.2273 0.1882 0.8660
O4 0.7727 0.8118 0.1340
O5 0.7801 0.2551 0.1827
O6 0.8123 0.1895 0.7382
F1 0.0293 0.2966 0.4109
F2 0.3097 0.4039 0.0727
F3 0.4284 0.0150 0.3228
F4 0.5716 0.9850 0.6772
F5 0.6903 0.5961 0.9273
F6 0.9707 0.7034 0.5891
```

Computed properties:
Uncorrected energy = -242.42 eV/cell
Spin magnetization = 0.000 μB/atom
Space-group type = P-1 (2)
DOS at the Fermi energy = 0.00 states/eV per cell

***

The following is a DFT calculation (meta-GGA SCAN) of a PBEsol-optimized structure of Li2CrAu.

CIF file:
```
data_Li2CrAu
_symmetry_space_group_name_H-M 'P 1'
_symmetry_Int_Tables_number 1
_cell_length_a 5.1239
_cell_length_b 5.1239
_cell_length_c 5.1239
_cell_angle_alpha 143.26
_cell_angle_beta 130.27
_cell_angle_gamma 63.40
loop_
_symmetry_equiv_pos_as_xyz
'x,y,z'
loop_
_atom_site_label
_atom_site_fract_x
_atom_site_fract_y
_atom_site_fract_z
Li1 0.2397 0.2397 0.0000
Li2 0.7603 0.7603 0.0000
Cr1 0.5000 0.0000 0.5000
Au1 0.0000 0.5000 0.5000
```

Computed properties:
Energy of formation from the pure elements = -232 meV per atom
Distance to the lowest polymorph of the same formula = 0.018 eV per atom
Uncorrected energy = -93.25 eV/cell
Spin magnetization = 1.038 μB/atom
Space-group type = Immm (71)
DOS at the Fermi energy = 1.58 states/eV per cell

***

The following is a DFT calculation (meta-GGA SCAN) of a PBEsol-optimized structure of ScTl.

CIF file:
```
data_ScTl
_symmetry_space_group_name_H-M 'P 1'
_symmetry_Int_Tables_number 1
_cell_length_a 10.0423
_cell_length_b 8.7391
_cell_length_c 6.2300
_cell_angle_alpha 90.00
_cell_angle_beta 90.00
_cell_angle_gamma 90.00
loop_
_symmetry_equiv_pos_as_xyz
'x,y,z'
loop_
_atom_site_label
_atom_site_fract_x
_atom_site_fract_y
_atom_site_fract_z
Sc1 0.1140 0.2500 0.0000
Sc2 0.1140 0.2500 0.5000
Sc3 0.1668 0.6397 0.2500
Sc4 0.1668 0.8603 0.7500
Sc5 0.3704 0.0432 0.2500
Sc6 0.3704 0.4568 0.7500
Sc7 0.6296 0.5432 0.2500
Sc8 0.6296 0.9568 0.7500
Sc9 0.8332 0.1397 0.2500
Sc10 0.8332 0.3603 0.7500
Sc11 0.8860 0.7500 0.0000
Sc12 0.8860 0.7500 0.5000
Tl1 0.0840 0.5459 0.7500
Tl2 0.0840 0.9541 0.2500
Tl3 0.3502 0.1103 0.7500
Tl4 0.3502 0.3897 0.2500
Tl5 0.4072 0.7500 0.0000
Tl6 0.4072 0.7500 0.5000
Tl7 0.5928 0.2500 0.0000
Tl8 0.5928 0.2500 0.5000
Tl9 0.6498 0.6103 0.7500
Tl10 0.6498 0.8897 0.2500
Tl11 0.9160 0.0459 0.7500
Tl12 0.9160 0.4541 0.2500
```

Computed properties:
Energy of formation from the pure elements = -454 meV per atom
Uncorrected energy = -1050.04 eV/cell
Spin magnetization = 0.000 μB/atom
Space-group type = Pbcm (57)
DOS at the Fermi energy = 14.60 states/eV per cell

***

The following is a DFT calculation (meta-GGA SCAN) of a PBEsol-optimized structure of Ce2CoRu3.

CIF file:
```
data_Ce2CoRu3
_symmetry_space_group_name_H-M 'P 1'
_symmetry_Int_Tables_number 1
_cell_length_a 5.1222
_cell_length_b 5.1222
_cell_length_c 5.1222
_cell_angle_alpha 61.64
_cell_angle_beta 61.64
_cell_angle_gamma 61.64
loop_
_symmetry_equiv_pos_as_xyz
'x,y,z'
loop_
_atom_site_label
_atom_site_fract_x
_atom_site_fract_y
_atom_site_fract_z
Ce1 0.1242 0.1242 0.1242
Ce2 0.8758 0.8758 0.8758
Co1 0.5000 0.5000 0.5000
Ru1 0.0000 0.5000 0.5000
Ru2 0.5000 0.0000 0.5000
Ru3 0.5000 0.5000 0.0000
```

Computed properties:
Energy of formation from the pure elements = -263 meV per atom
Uncorrected energy = -212.49 eV/cell
Spin magnetization = 0.181 μB/atom
Space-group type = R-3m (166)
DOS at the Fermi energy = 7.07 states/eV per cell

***

The following is a DFT calculation (meta-GGA SCAN) of a PBEsol-optimized structure of RbAlZn2Tc.

CIF file:
```
data_RbAlZn2Tc
_symmetry_space_group_name_H-M 'P 1'
_symmetry_Int_Tables_number 1
_cell_length_a 5.3584
_cell_length_b 5.3584
_cell_length_c 5.0516
_cell_angle_alpha 90.00
_cell_angle_beta 90.00
_cell_angle_gamma 90.00
loop_
_symmetry_equiv_pos_as_xyz
'x,y,z'
loop_
_atom_site_label
_atom_site_fract_x
_atom_site_fract_y
_atom_site_fract_z
Rb1 0.0000 0.0000 0.0000
Al1 0.5000 0.5000 0.5000
Zn1 0.0000 0.5000 0.0000
Zn2 0.5000 0.0000 0.0000
Tc1 0.0000 0.0000 0.5000
```

Computed properties:
Energy of formation from the pure elements = 2227 meV per atom
Uncorrected energy = -79.44 eV/cell
Spin magnetization = 0.624 μB/atom
Space-group type = P4/mmm (123)
DOS at the Fermi energy = 3.60 states/eV per cell

***

The following is a DFT calculation (meta-GGA SCAN) of a PBEsol-optimized structure of YTcIr2.

CIF file:
```
data_YTcIr2
_symmetry_space_group_name_H-M 'P 1'
_symmetry_Int_Tables_number 1
_cell_length_a 2.8503
_cell_length_b 3.7917
_cell_length_c 6.0953
_cell_angle_alpha 90.00
_cell_angle_beta 90.00
_cell_angle_gamma 90.00
loop_
_symmetry_equiv_pos_as_xyz
'x,y,z'
loop_
_atom_site_label
_atom_site_fract_x
_atom_site_fract_y
_atom_site_fract_z
Y1 0.0000 0.0000 0.0000
Tc1 0.0000 0.0000 0.5000
Ir1 0.5000 0.5000 0.2863
Ir2 0.5000 0.5000 0.7137
```

Computed properties:
Energy of formation from the pure elements = -280 meV per atom
Distance to the lowest polymorph of the same formula = 0.000 eV per atom
Uncorrected energy = -206.22 eV/cell
Spin magnetization = 0.000 μB/atom
Space-group type = Pmmm (47)
DOS at the Fermi energy = 3.74 states/eV per cell